# 1
Entry from Alexandria: a relaxed LaPrEu2 crystal (PBE).

```
LaPrEu2
1.0
-3.376 0.897 -1.413
-2.764 -2.561 -0.046
-5.769 3.261 10.828
Eu Pr La
2 1 1
direct
0.749 0.749 0.752 Eu
0.251 0.251 0.248 Eu
0.000 0.000 0.000 Pr
0.500 0.500 0.500 La
```

Summary:
Energy of formation, eV/f.u.: 0.2
Relative energy among the computed polymorphs, eV/atom: 0.0000

=====

# 2
Entry from Alexandria: a relaxed LiBi3P6O20 crystal (PBE).

```
LiBi3P6O20
1.0
9.169 -0.011 0.000
-2.513 8.818 0.000
0.000 0.000 12.854
Li Bi P O
2 6 12 40
direct
0.568 0.568 0.000 Li
0.432 0.432 0.500 Li
0.130 0.130 0.500 Bi
0.715 0.285 0.250 Bi
0.285 0.715 0.750 Bi
0.807 0.193 0.750 Bi
0.193 0.807 0.250 Bi
0.870 0.870 0.000 Bi
0.107 0.403 0.188 P
0.403 0.107 0.812 P
0.238 0.307 0.710 P
0.307 0.238 0.290 P
0.103 0.735 0.520 P
0.735 0.103 0.480 P
0.897 0.265 0.020 P
0.265 0.897 0.980 P
0.762 0.693 0.210 P
0.693 0.762 0.790 P
0.893 0.597 0.688 P
0.597 0.893 0.312 P
0.225 0.303 0.195 O
0.303 0.225 0.805 O
0.054 0.376 0.070 O
0.376 0.054 0.930 O
0.339 0.316 0.614 O
0.316 0.339 0.386 O
0.020 0.661 0.764 O
0.661 0.020 0.236 O
0.455 0.233 0.240 O
0.233 0.455 0.760 O
0.795 0.923 0.821 O
0.923 0.795 0.179 O
0.192 0.569 0.196 O
0.569 0.192 0.804 O
0.085 0.706 0.404 O
0.706 0.085 0.596 O
0.103 0.899 0.947 O
0.899 0.103 0.053 O
0.235 0.689 0.569 O
0.689 0.235 0.431 O
0.765 0.311 0.069 O
0.311 0.765 0.931 O
0.897 0.101 0.447 O
0.101 0.897 0.553 O
0.915 0.294 0.904 O
0.294 0.915 0.096 O
0.808 0.431 0.696 O
0.431 0.808 0.304 O
0.077 0.205 0.679 O
0.205 0.077 0.321 O
0.545 0.767 0.740 O
0.767 0.545 0.260 O
0.980 0.339 0.264 O
0.339 0.980 0.736 O
0.661 0.684 0.114 O
0.684 0.661 0.886 O
0.946 0.624 0.570 O
0.624 0.946 0.430 O
0.775 0.697 0.695 O
0.697 0.775 0.305 O
```

Summary:
Uncorrected formation energy, eV/atom: -1.9834
Relative energy among the computed polymorphs, eV/atom: 0.0000

=====

no.,mass density (g/cm³),VASP energy (eV/atom),density of states at the Fermi level (states/eV/f.u.)
1,6.302,-7.5036,5.444
2,3.644,-6.8227,0.000